Computed, not measured: a relaxed Pr3Pb5Se12 crystal at the PBE level of DFT.

The structure in CIF format:
```
data_Pr3Pb5Se12
_chemical_formula_sum 'Pr24 Pb40 Se96'
_space_group_name_H-M_alt 'I a -3 d'
_space_group_IT_number 230
_space_group_name_Hall '-I 4bd 2c 3'
_cell_length_a 17.2623
_cell_length_b 17.2623
_cell_length_c 17.2623
_cell_angle_alpha 90.00
_cell_angle_beta 90.00
_cell_angle_gamma 90.00
loop_
_atom_site_label
_atom_site_type_symbol
_atom_site_fract_x
_atom_site_fract_y
_atom_site_fract_z
_atom_site_occupancy
Pr1 Pr 0.0000 0.2500 0.1250 1
Pb1 Pb 0.0000 0.0000 0.0000 1
Pb2 Pb 0.0000 0.2500 0.3750 1
Se1 Se 0.0154 0.0702 0.6559 1
```

**E_form (uncorrected)**: -0.82 eV per atom
**Calculated volume**: 32.15 Å³/atom
**Crystal system**: cubic